Entry 1:
A plane-wave DFT calculation with GGA-PBE was carried out for an optimized crystal structure of Al4CuMo.

The structure in extended XYZ format:
```
12
Lattice="-2.848 1.187 -5.819 -3.545 -4.276 0.862 -3.623 3.505 2.488" Properties=species:S:1:pos:R:3 pbc="T T T"
Al -6.114 -2.208 0.558
Al -5.712 4.376 -1.782
Mo -3.604 1.560 2.082
Al -3.901 2.623 -3.026
Mo -3.564 -2.331 1.269
Al -4.303 -3.960 -0.687
Al -5.674 0.485 -2.595
Cu -6.799 0.014 -0.397
Al -6.153 1.683 1.369
Cu -3.216 0.401 -2.072
Al -4.342 -0.070 0.126
Al -3.862 -1.267 -3.838
```

Volume (Å³ per atom): 17.342
Energy relative to the lowest polymorph listed for this composition (eV/atom): 0.000

=====

Entry 2:
A plane-wave DFT calculation with GGA-PBE was carried out for an optimized crystal structure of Al2CuMo.

The structure in extended XYZ format:
```
4
Lattice="-3.625 2.743 1.379 -3.493 -0.171 -3.215 2.457 -3.401 2.228" Properties=species:S:1:pos:R:3 pbc="T T T"
Al 0.000 0.000 0.000
Al -3.559 1.286 -0.918
Mo -2.364 0.314 1.344
Cu -2.298 -1.143 -0.953
```

Volume (Å³ per atom): 14.418
Energy relative to the lowest polymorph listed for this composition (eV/atom): 0.115

=====

Entry 3:
A plane-wave DFT calculation with GGA-PBE was carried out for an optimized crystal structure of Al2CuMo.

The structure in extended XYZ format:
```
4
Lattice="5.062 -0.011 0.034 -2.004 4.649 0.034 0.564 0.855 2.504" Properties=species:S:1:pos:R:3 pbc="T T T"
Al 1.529 2.319 0.034
Mo -0.720 2.752 1.269
Cu 2.813 0.422 1.269
Al 0.000 0.000 0.000
```

Volume (Å³ per atom): 14.646
Energy relative to the lowest polymorph listed for this composition (eV/atom): 0.134

=====

Entry 4:
A plane-wave DFT calculation with GGA-PBE was carried out for an optimized crystal structure of AlCuMo.

The structure in extended XYZ format:
```
3
Lattice="-1.453 -3.501 -1.567 1.169 -3.597 1.586 -2.666 -2.257 2.148" Properties=species:S:1:pos:R:3 pbc="T T T"
Mo 0.000 0.000 0.000
Al -1.475 -4.677 1.083
Cu -2.212 -7.016 1.625
```

Volume (Å³ per atom): 16.257
Energy relative to the lowest polymorph listed for this composition (eV/atom): 0.447

=====

Entry 5:
A plane-wave DFT calculation with GGA-PBE was carried out for an optimized crystal structure of AlCuMo2.

The structure in extended XYZ format:
```
4
Lattice="-4.358 -1.378 1.306 -3.825 -2.637 -1.005 1.346 -3.974 2.476" Properties=species:S:1:pos:R:3 pbc="T T T"
Mo -6.777 -7.947 2.767
Al -3.489 -3.959 1.352
Cu -1.669 -2.034 0.723
Mo -5.160 -6.032 2.097
```

Volume (Å³ per atom): 14.792
DFT total energy (eV per atom): -7.338

=====

Entry 6:
A plane-wave DFT calculation with GGA-PBE was carried out for an optimized crystal structure of AlCuMo2.

The structure in extended XYZ format:
```
4
Lattice="-2.392 1.918 3.042 1.427 -1.303 1.944 3.563 3.505 0.591" Properties=species:S:1:pos:R:3 pbc="T T T"
Mo 3.587 3.444 0.649
Mo 0.034 1.564 2.106
Cu 2.362 2.772 3.175
Al 2.674 0.946 1.506
```

Volume (Å³ per atom): 14.784
DFT total energy (eV per atom): -7.419

=====

Entry 7:
A plane-wave DFT calculation with GGA-PBE was carried out for an optimized crystal structure of AlCuMo2.

The structure in extended XYZ format:
```
4
Lattice="4.973 -0.003 0.000 -2.210 4.455 0.000 0.205 0.330 2.650" Properties=species:S:1:pos:R:3 pbc="T T T"
Mo 1.382 2.226 0.000
Cu -1.002 2.393 1.325
Al 2.589 0.164 1.325
Mo 0.000 0.000 0.000
```

Volume (Å³ per atom): 14.677
DFT total energy (eV per atom): -7.386

=====

Entry 8:
A plane-wave DFT calculation with GGA-PBE was carried out for an optimized crystal structure of AlCu3Mo.

The structure in extended XYZ format:
```
5
Lattice="4.281 0.000 0.000 0.000 4.281 0.000 0.000 0.000 4.281" Properties=species:S:1:pos:R:3 pbc="T T T"
Al 0.000 0.000 0.000
Cu 2.141 0.000 0.000
Cu 0.000 0.000 2.141
Cu 0.000 2.141 0.000
Mo 2.141 2.141 2.141
```

Volume (Å³ per atom): 15.692
Energy relative to the lowest polymorph listed for this composition (eV/atom): 0.000

=====

What is the formula in the fifth record? AlCuMo2

=====

Among the records above, which one has the highest volume? Al4CuMo

=====

What is the volume in the first record? 17.342 Å³ per atom

=====

Among the records above, which one has the lowest volume? number 2